Record 1
Entry from the Open Quantum Materials Database: crystalline Gd2H4C5O13 at its relaxed geometry (GGA-PBE).

Unit cell a=5.7200 b=8.0244 c=12.5476 alpha=71.36 beta=89.61 gamma=77.87
With the nearest neighbours (Å) after each atom.
Positions (direct):
C 0.4318 0.4427 0.0465  2 O 1.25-1.28
C 0.0503 0.1789 0.1421  2 O 1.26-1.27
C 0.7756 0.7801 0.1487  3 O 1.28-1.29
C 0.2479 0.0735 0.2377  2 O 1.26-1.27
C 0.9155 0.5941 0.4733  2 O 1.26-1.27
C 0.0845 0.4059 0.5267  2 O 1.26-1.27
C 0.7521 0.9265 0.7623  2 O 1.26-1.27
C 0.2244 0.2199 0.8513  3 O 1.28-1.29
C 0.9497 0.8211 0.8579  2 O 1.26-1.27
C 0.5682 0.5573 0.9535  2 O 1.25-1.28
Gd 0.3028 0.8317 0.0724  9 O 2.30-2.48
Gd 0.0295 0.4398 0.2806  8 O 2.32-2.56
Gd 0.9705 0.5602 0.7194  8 O 2.32-2.56
Gd 0.6972 0.1683 0.9276  9 O 2.30-2.48
H 0.3689 0.6748 0.3296  1 O 0.99
H 0.6040 0.1958 0.3387  1 O 0.99
H 0.5027 0.4696 0.3690  1 O 0.98
H 0.7785 0.1815 0.4404  1 O 0.98
H 0.2215 0.8185 0.5596  1 O 0.98
H 0.4973 0.5304 0.6310  1 O 0.98
H 0.3960 0.8042 0.6613  1 O 0.99
H 0.6311 0.3252 0.6704  1 O 0.99
O 0.4571 0.2793 0.0563  1 C 1.25
O 0.0275 0.1101 0.0654  1 C 1.27
O 0.6551 0.9355 0.0890  1 C 1.28
O 0.3028 0.5225 0.1067  1 C 1.28
O 0.9208 0.3236 0.1461  1 C 1.26
O 0.6714 0.6456 0.1757  1 C 1.29
O 0.9967 0.7511 0.1826  1 C 1.29
O 0.3357 0.9121 0.2463  1 C 1.26
O 0.3007 0.1589 0.3007  1 C 1.27
O 0.3429 0.5508 0.3510  2 H 0.98-0.99
O 0.7180 0.2555 0.3637  2 H 0.98-0.99
O 0.8047 0.6193 0.3815  1 C 1.26
O 0.0979 0.2920 0.4748  1 C 1.27
O 0.9021 0.7080 0.5252  1 C 1.27
O 0.1954 0.3807 0.6185  1 C 1.26
O 0.2820 0.7445 0.6363  2 H 0.98-0.99
O 0.6571 0.4492 0.6490  2 H 0.98-0.99
O 0.6993 0.8411 0.6993  1 C 1.27
O 0.6643 0.0879 0.7537  1 C 1.26
O 0.0033 0.2489 0.8174  1 C 1.29
O 0.3286 0.3544 0.8243  1 C 1.29
O 0.0792 0.6764 0.8539  1 C 1.26
O 0.6972 0.4775 0.8933  1 C 1.28
O 0.3449 0.0645 0.9110  1 C 1.28
O 0.9725 0.8899 0.9346  1 C 1.27
O 0.5429 0.7207 0.9437  1 C 1.25

Summary:
ρ in g/cm3: 3.7
VASP energy in eV per atom: -7.23



Record 2
Entry from the Open Quantum Materials Database: crystalline GdH7C2SO8 at its relaxed geometry (GGA-PBE).

Unit cell a=6.6459 b=6.7470 c=8.4349 alpha=110.13 beta=89.73 gamma=107.61
With the nearest neighbours (Å) after each atom.
Positions (direct):
C 0.2631 0.8825 0.1204  2 O 1.27-1.29
C 0.4539 0.0070 0.2446  3 H 1.09
C 0.5461 0.9930 0.7554  3 H 1.09
C 0.7369 0.1175 0.8796  2 O 1.27-1.29
Gd 0.1145 0.3436 0.1334  9 O 2.32-2.59
Gd 0.8855 0.6564 0.8666  9 O 2.32-2.59
H 0.5876 0.0685 0.1793  1 C 1.09
H 0.9151 0.0056 0.2927  1 O 1.00
H 0.4913 0.9045 0.3079  1 C 1.09
H 0.4264 0.1525 0.3377  1 C 1.09
H 0.1084 0.1940 0.4323  1 O 1.00
H 0.3970 0.6743 0.4432  1 O 0.99
H 0.8315 0.3157 0.4954  1 O 0.99
H 0.1685 0.6843 0.5046  1 O 0.99
H 0.6030 0.3257 0.5568  1 O 0.99
H 0.8916 0.8060 0.5677  1 O 1.00
H 0.5736 0.8475 0.6623  1 C 1.09
H 0.5087 0.0955 0.6921  1 C 1.09
H 0.0849 0.9944 0.7073  1 O 1.00
H 0.4124 0.9315 0.8207  1 C 1.09
O 0.1817 0.9825 0.0457  1 C 1.29
O 0.1734 0.6742 0.0819  1 C 1.27
O 0.7867 0.7334 0.1528  1 S 1.50
O 0.4806 0.4356 0.1688  1 S 1.48
O 0.8308 0.4529 0.2595  1 S 1.48
O 0.9909 0.1686 0.3463  2 H 1.00
O 0.2427 0.6178 0.4088  2 H 0.99
O 0.6802 0.7323 0.4257  1 S 1.49
O 0.3198 0.2677 0.5743  1 S 1.49
O 0.7573 0.3822 0.5912  2 H 0.99
O 0.0091 0.8314 0.6537  2 H 1.00
O 0.1692 0.5471 0.7405  1 S 1.48
O 0.5194 0.5644 0.8312  1 S 1.48
O 0.2133 0.2666 0.8472  1 S 1.50
O 0.8266 0.3258 0.9181  1 C 1.27
O 0.8183 0.0175 0.9543  1 C 1.29
S 0.6941 0.5861 0.2508  4 O 1.48-1.50
S 0.3059 0.4139 0.7492  4 O 1.48-1.50

Summary:
ρ in g/cm3: 3.4
VASP energy in eV per atom: -6.09



Record 3
Entry from the Open Quantum Materials Database: crystalline GdHf2C3 at its relaxed geometry (GGA-PBE).

Unit cell a=3.3733 b=3.3733 c=8.4031 alpha=90.00 beta=90.00 gamma=120.00
With the nearest neighbours (Å) after each atom.
Positions (direct):
C 0.0000 0.0000 0.0000  6 Hf 2.37
C 0.3333 0.6667 0.3083  3 Hf 2.31, 3 Gd 2.53
C 0.6667 0.3333 0.6917  3 Hf 2.31, 3 Gd 2.53
Gd 0.0000 0.0000 0.5000  6 C 2.53
Hf 0.6667 0.3333 0.1597  6 C 2.31-2.37
Hf 0.3333 0.6667 0.8403  6 C 2.31-2.37

Summary:
ρ in g/cm3: 11.0
VASP energy in eV per atom: -9.28



Record 4
Entry from the Open Quantum Materials Database: crystalline GdHfPbC at its relaxed geometry (GGA-PBE).

Unit cell a=3.4844 b=3.4844 c=15.6440 alpha=90.00 beta=90.00 gamma=120.00
With the nearest neighbours (Å) after each atom.
Positions (direct):
C 0.0000 0.0000 0.0124  3 Hf 2.28, 3 Gd 2.52
C 0.0000 0.0000 0.5124  3 Hf 2.28, 3 Gd 2.52
Gd 0.3333 0.6667 0.4157  3 C 2.52
Gd 0.6667 0.3333 0.9157  3 C 2.52
Hf 0.3333 0.6667 0.0807  3 C 2.28
Hf 0.6667 0.3333 0.5807  3 C 2.28
Pb 0.6667 0.3333 0.2412  3 Hf 3.22, 3 Gd 3.39, 6 Pb 3.48
Pb 0.3333 0.6667 0.7412  3 Hf 3.22, 3 Gd 3.39, 6 Pb 3.48

Summary:
Energy above the most stable polymorph in this dataset in meV per atom: 0.0
ρ in g/cm3: 11.2



Record 5
Entry from the Open Quantum Materials Database: crystalline GdHfPbC at its relaxed geometry (GGA-PBE).

Unit cell a=3.4956 b=3.4956 c=15.6467 alpha=90.00 beta=90.00 gamma=120.00
With the nearest neighbours (Å) after each atom.
Positions (direct):
C 0.0000 0.0000 0.0000  6 Hf 2.33
C 0.0000 0.0000 0.5000  6 Gd 2.44
Gd 0.3333 0.6667 0.4119  3 C 2.44
Gd 0.6667 0.3333 0.5881  3 C 2.44
Hf 0.3333 0.6667 0.0749  3 C 2.33
Hf 0.6667 0.3333 0.9251  3 C 2.33
Pb 0.6667 0.3333 0.2335  3 Hf 3.20, 3 Gd 3.44, 6 Pb 3.50
Pb 0.3333 0.6667 0.7665  3 Hf 3.20, 3 Gd 3.44, 6 Pb 3.50

Summary:
Energy above the most stable polymorph in this dataset in meV per atom: 53.7
ρ in g/cm3: 11.1



Record 6
Entry from the Open Quantum Materials Database: crystalline GdHfPbC at its relaxed geometry (GGA-PBE).

Unit cell a=3.4883 b=3.4883 c=15.6335 alpha=90.00 beta=90.00 gamma=120.00
With the nearest neighbours (Å) after each atom.
Positions (direct):
C 0.0000 0.0000 0.2268  3 Hf 2.28, 3 Gd 2.52
C 0.0000 0.0000 0.7732  3 Hf 2.28, 3 Gd 2.52
Gd 0.6667 0.3333 0.3240  3 C 2.52
Gd 0.6667 0.3333 0.6760  3 C 2.52
Hf 0.3333 0.6667 0.1591  3 C 2.28
Hf 0.3333 0.6667 0.8409  3 C 2.28
Pb 0.6667 0.3333 0.0000  6 Hf 3.20, 6 Pb 3.49
Pb 0.3333 0.6667 0.5000  6 Gd 3.41, 6 Pb 3.49

Summary:
Energy above the most stable polymorph in this dataset in meV per atom: 11.2
ρ in g/cm3: 11.2



Record 7
Entry from the Open Quantum Materials Database: crystalline GdHfCS at its relaxed geometry (GGA-PBE).

Unit cell a=3.5311 b=3.5311 c=12.6600 alpha=90.00 beta=90.00 gamma=120.00
With the nearest neighbours (Å) after each atom.
Positions (direct):
C 0.0000 0.0000 0.2746  3 Hf 2.30, 3 Gd 2.56
C 0.0000 0.0000 0.7254  3 Hf 2.30, 3 Gd 2.56
Gd 0.6667 0.3333 0.1527  3 C 2.56, 3 S 2.81
Gd 0.6667 0.3333 0.8473  3 C 2.56, 3 S 2.81
Hf 0.3333 0.6667 0.3588  3 C 2.30
Hf 0.3333 0.6667 0.6412  3 C 2.30
S 0.3333 0.6667 0.0000  6 Gd 2.81
S 0.6667 0.3333 0.5000  6 Hf 2.71

Summary:
Energy above the most stable polymorph in this dataset in meV per atom: 21.2
ρ in g/cm3: 9.2



Record 8
Entry from the Open Quantum Materials Database: crystalline GdHfCS at its relaxed geometry (GGA-PBE).

Unit cell a=3.5213 b=3.5213 c=12.7042 alpha=90.00 beta=90.00 gamma=120.00
With the nearest neighbours (Å) after each atom.
Positions (direct):
C 0.0000 0.0000 0.4851  3 Hf 2.31, 3 Gd 2.53
C 0.0000 0.0000 0.9851  3 Hf 2.31, 3 Gd 2.53
Gd 0.6667 0.3333 0.1040  3 C 2.53
Gd 0.3333 0.6667 0.6040  3 C 2.53
Hf 0.6667 0.3333 0.3987  3 C 2.31
Hf 0.3333 0.6667 0.8987  3 C 2.31
S 0.3333 0.6667 0.2621  3 Hf 2.67, 3 Gd 2.86
S 0.6667 0.3333 0.7621  3 Hf 2.67, 3 Gd 2.86

Summary:
Energy above the most stable polymorph in this dataset in meV per atom: 0.0
ρ in g/cm3: 9.2